Record 1
Material: CaMg2Fe
Method: DFT, PBE
State: relaxed

- ΔH_f (0 K): 0.397 eV/atom
- N(E_F): 0.711 states/eV/atom
- E: -36.2 eV for the cell shown

Cell and atoms, written as CIF:
```
data_CaMg2Fe
_chemical_formula_sum 'Ca3 Mg6 Fe3'
_symmetry_space_group_name_H-M 'R -3 m'
_symmetry_Int_Tables_number 166
_symmetry_space_group_name_Hall '-R 3 2"'
_cell_length_a 3.1986
_cell_length_b 3.1986
_cell_length_c 30.4457
_cell_angle_alpha 90.00
_cell_angle_beta 90.00
_cell_angle_gamma 120.00
loop_
_atom_site_label
_atom_site_type_symbol
_atom_site_fract_x
_atom_site_fract_y
_atom_site_fract_z
Ca1 Ca 0.0000 0.0000 0.0000
Mg1 Mg 0.0000 0.0000 0.2358
Fe1 Fe 0.0000 0.0000 0.5000
```

Record 2
Material: CaMg2Fe
Method: DFT, PBE
State: relaxed

- ΔH_f (0 K): 0.477 eV/atom
- N(E_F): 1.102 states/eV/atom
- E: -47.0 eV for the cell shown

Cell and atoms, written as CIF:
```
data_CaMg2Fe
_chemical_formula_sum 'Ca4 Mg8 Fe4'
_symmetry_space_group_name_H-M 'F m -3 m'
_symmetry_Int_Tables_number 225
_symmetry_space_group_name_Hall '-F 4 2 3'
_cell_length_a 6.862
_cell_length_b 6.862
_cell_length_c 6.862
_cell_angle_alpha 90.00
_cell_angle_beta 90.00
_cell_angle_gamma 90.00
loop_
_atom_site_label
_atom_site_type_symbol
_atom_site_fract_x
_atom_site_fract_y
_atom_site_fract_z
Ca1 Ca 0.000 0.000 0.000
Mg1 Mg 0.250 0.250 0.250
Fe1 Fe 0.000 0.000 0.500
```

Record 3
Material: CaMgFe
Method: DFT, PBE
State: relaxed

- ΔH_f (0 K): 0.610 eV/atom
- N(E_F): 1.500 states/eV/atom
- E: -40.9 eV for the cell shown

Cell and atoms, written as CIF:
```
data_CaMgFe
_chemical_formula_sum 'Ca4 Mg4 Fe4'
_symmetry_space_group_name_H-M 'F -4 3 m'
_symmetry_Int_Tables_number 216
_symmetry_space_group_name_Hall 'F -4 2 3'
_cell_length_a 6.784
_cell_length_b 6.784
_cell_length_c 6.784
_cell_angle_alpha 90.00
_cell_angle_beta 90.00
_cell_angle_gamma 90.00
loop_
_atom_site_label
_atom_site_type_symbol
_atom_site_fract_x
_atom_site_fract_y
_atom_site_fract_z
Ca1 Ca 0.000 0.000 0.000
Mg1 Mg 0.000 0.000 0.500
Fe1 Fe 0.250 0.250 0.750
```

Record 4
Material: CaMgFe
Method: DFT, PBE
State: relaxed

- ΔH_f (0 K): 1.046 eV/atom
- N(E_F): 1.076 states/eV/atom
- E: -35.7 eV for the cell shown

Cell and atoms, written as CIF:
```
data_CaMgFe
_chemical_formula_sum 'Ca4 Mg4 Fe4'
_symmetry_space_group_name_H-M 'F -4 3 m'
_symmetry_Int_Tables_number 216
_symmetry_space_group_name_Hall 'F -4 2 3'
_cell_length_a 7.012
_cell_length_b 7.012
_cell_length_c 7.012
_cell_angle_alpha 90.00
_cell_angle_beta 90.00
_cell_angle_gamma 90.00
loop_
_atom_site_label
_atom_site_type_symbol
_atom_site_fract_x
_atom_site_fract_y
_atom_site_fract_z
Ca1 Ca 0.000 0.000 0.000
Mg1 Mg 0.250 0.250 0.750
Fe1 Fe 0.250 0.250 0.250
```

Record 5
Material: CaMg4Fe
Method: DFT, PBE
State: relaxed

- ΔH_f (0 K): 0.313 eV/atom
- N(E_F): 1.355 states/eV/atom
- E: -59.9 eV for the cell shown

Cell and atoms, written as CIF:
```
data_CaMg4Fe
_chemical_formula_sum 'Ca4 Mg16 Fe4'
_symmetry_space_group_name_H-M 'F -4 3 m'
_symmetry_Int_Tables_number 216
_symmetry_space_group_name_Hall 'F -4 2 3'
_cell_length_a 8.216
_cell_length_b 8.216
_cell_length_c 8.216
_cell_angle_alpha 90.00
_cell_angle_beta 90.00
_cell_angle_gamma 90.00
loop_
_atom_site_label
_atom_site_type_symbol
_atom_site_fract_x
_atom_site_fract_y
_atom_site_fract_z
Ca1 Ca 0.000 0.000 0.000
Mg1 Mg 0.124 0.124 0.376
Fe1 Fe 0.250 0.250 0.750
```

Record 6
Material: CaMg2Fe
Method: DFT, PBE
State: relaxed

- ΔH_f (0 K): 0.230 eV/atom
- N(E_F): 1.128 states/eV/atom
- E: -12.7 eV for the cell shown

Cell and atoms, written as CIF:
```
data_CaMg2Fe
_chemical_formula_sum 'Ca1 Mg2 Fe1'
_symmetry_space_group_name_H-M 'P 1 2/m 1'
_symmetry_Int_Tables_number 10
_cell_length_a 3.327
_cell_length_b 3.346
_cell_length_c 7.980
_cell_angle_alpha 90.00
_cell_angle_beta 90.09
_cell_angle_gamma 90.00
loop_
_symmetry_equiv_pos_as_xyz
'x,y,z'
'-x,-y,-z'
'-x,y,-z'
'x,-y,z'
loop_
_atom_site_label
_atom_site_type_symbol
_atom_site_fract_x
_atom_site_fract_y
_atom_site_fract_z
Ca1 Ca 0.000 0.000 0.000
Mg1 Mg 0.500 0.500 0.312
Fe1 Fe 0.000 0.000 0.500
```

Record 7
Material: CaMgFe
Method: DFT, PBE
State: relaxed

- ΔH_f (0 K): 0.346 eV/atom
- N(E_F): 1.179 states/eV/atom
- E: -22.0 eV for the cell shown

Cell and atoms, written as CIF:
```
data_CaMgFe
_chemical_formula_sum 'Ca2 Mg2 Fe2'
_symmetry_space_group_name_H-M 'I 4 m m'
_symmetry_Int_Tables_number 107
_symmetry_space_group_name_Hall 'I 4 -2'
_cell_length_a 3.357
_cell_length_b 3.357
_cell_length_c 11.908
_cell_angle_alpha 90.00
_cell_angle_beta 90.00
_cell_angle_gamma 90.00
loop_
_atom_site_label
_atom_site_type_symbol
_atom_site_fract_x
_atom_site_fract_y
_atom_site_fract_z
Ca1 Ca 0.000 0.000 0.000
Mg1 Mg 0.000 0.000 0.716
Fe1 Fe 0.000 0.000 0.335
```